# Rh2AuSeO (PBE, optimized geometry)
# Space-group type: P4/mmm
# Uncorrected energy (eV for the cell shown): -17.59
# ΔE_f (raw) (kJ/mol of atoms): 170.5
data_Rh2AuSeO
_symmetry_space_group_name_H-M 'P 1'
_symmetry_Int_Tables_number 1
_symmetry_space_group_name_Hall 'P 1'
_cell_length_a 5.128
_cell_length_b 4.790
_cell_length_c 5.128
_cell_angle_alpha 90.00
_cell_angle_beta 90.00
_cell_angle_gamma 90.00
loop_
_atom_site_label
_atom_site_type_symbol
_atom_site_fract_x
_atom_site_fract_y
_atom_site_fract_z
Rh1 Rh 0.000 0.000 0.500
Rh2 Rh 0.500 0.000 0.000
Au1 Au 0.000 0.000 0.000
O1 O 0.500 0.500 0.500
Se1 Se 0.000 0.500 0.000

# Ca2Tm3Pb4 (PBE, optimized geometry)
# Space-group type: P2_1/c
# Uncorrected energy (eV for the cell shown): -73.69
# Calculated formation energy (meV per atom): -510.3
data_Ca2Tm3Pb4
_symmetry_space_group_name_H-M 'P 1'
_symmetry_Int_Tables_number 1
_symmetry_space_group_name_Hall 'P 1'
_cell_length_a 7.965
_cell_length_b 8.339
_cell_length_c 8.519
_cell_angle_alpha 90.00
_cell_angle_beta 90.00
_cell_angle_gamma 108.02
loop_
_atom_site_label
_atom_site_type_symbol
_atom_site_fract_x
_atom_site_fract_y
_atom_site_fract_z
Ca1 Ca 0.556 0.185 0.317
Ca2 Ca 0.944 0.815 0.817
Ca3 Ca 0.444 0.815 0.683
Ca4 Ca 0.056 0.185 0.183
Tm1 Tm 0.000 0.500 0.500
Tm2 Tm 0.500 0.500 0.000
Tm3 Tm 0.753 0.246 0.839
Tm4 Tm 0.747 0.754 0.339
Tm5 Tm 0.247 0.754 0.161
Tm6 Tm 0.253 0.246 0.661
Pb1 Pb 0.849 0.088 0.538
Pb2 Pb 0.651 0.912 0.038
Pb3 Pb 0.151 0.912 0.462
Pb4 Pb 0.349 0.088 0.962
Pb5 Pb 0.858 0.489 0.139
Pb6 Pb 0.642 0.511 0.639
Pb7 Pb 0.142 0.511 0.861
Pb8 Pb 0.358 0.489 0.361

# Zr5ZnSn3 (PBE, optimized geometry)
# Space-group type: P6_3/mcm
# Uncorrected energy (eV for the cell shown): -122.56
# Calculated formation energy (meV per atom): -584.3
data_Zr5ZnSn3
_symmetry_space_group_name_H-M 'P 1'
_symmetry_Int_Tables_number 1
_symmetry_space_group_name_Hall 'P 1'
_cell_length_a 8.710
_cell_length_b 8.710
_cell_length_c 5.900
_cell_angle_alpha 90.00
_cell_angle_beta 90.00
_cell_angle_gamma 120.00
loop_
_atom_site_label
_atom_site_type_symbol
_atom_site_fract_x
_atom_site_fract_y
_atom_site_fract_z
Zr1 Zr 0.667 0.333 0.000
Zr2 Zr 0.333 0.667 0.000
Zr3 Zr 0.333 0.667 0.500
Zr4 Zr 0.667 0.333 0.500
Zr5 Zr 0.732 0.732 0.750
Zr6 Zr 0.268 0.000 0.750
Zr7 Zr 0.000 0.268 0.750
Zr8 Zr 0.268 0.268 0.250
Zr9 Zr 0.732 0.000 0.250
Zr10 Zr 0.000 0.732 0.250
Zn1 Zn 0.000 0.000 0.000
Zn2 Zn 0.000 0.000 0.500
Sn1 Sn 0.384 0.384 0.750
Sn2 Sn 0.616 0.000 0.750
Sn3 Sn 0.000 0.616 0.750
Sn4 Sn 0.616 0.616 0.250
Sn5 Sn 0.384 0.000 0.250
Sn6 Sn 0.000 0.384 0.250

# Th2Co3Si (PBE, optimized geometry)
# Space-group type: Fmmm
# Uncorrected energy (eV for the cell shown): -88.30
# ΔE_f (raw) (kJ/mol of atoms): -41.3
data_Th2Co3Si
_symmetry_space_group_name_H-M 'P 1'
_symmetry_Int_Tables_number 1
_symmetry_space_group_name_Hall 'P 1'
_cell_length_a 5.671
_cell_length_b 5.671
_cell_length_c 8.019
_cell_angle_alpha 110.83
_cell_angle_beta 110.83
_cell_angle_gamma 89.68
loop_
_atom_site_label
_atom_site_type_symbol
_atom_site_fract_x
_atom_site_fract_y
_atom_site_fract_z
Th1 Th 0.750 0.250 0.500
Th2 Th 0.750 0.250 0.000
Th3 Th 0.250 0.750 0.500
Th4 Th 0.250 0.750 0.000
Co1 Co 0.831 0.831 0.168
Co2 Co 0.662 0.662 0.832
Co3 Co 0.169 0.169 0.832
Co4 Co 0.338 0.338 0.168
Co5 Co 0.167 0.167 0.334
Co6 Co 0.833 0.833 0.666
Si1 Si 0.668 0.668 0.336
Si2 Si 0.332 0.332 0.664

# Pm3ThO (PBE, optimized geometry)
# Space-group type: Pm-3m
# Uncorrected energy (eV for the cell shown): -31.78
# ΔE_f (raw) (kJ/mol of atoms): -99.3
data_Pm3ThO
_symmetry_space_group_name_H-M 'P 1'
_symmetry_Int_Tables_number 1
_symmetry_space_group_name_Hall 'P 1'
_cell_length_a 5.077
_cell_length_b 5.077
_cell_length_c 5.077
_cell_angle_alpha 90.00
_cell_angle_beta 90.00
_cell_angle_gamma 90.00
loop_
_atom_site_label
_atom_site_type_symbol
_atom_site_fract_x
_atom_site_fract_y
_atom_site_fract_z
O1 O 0.000 0.000 0.000
Th1 Th 0.500 0.500 0.500
Pm1 Pm 0.000 0.500 0.000
Pm2 Pm 0.000 0.000 0.500
Pm3 Pm 0.500 0.000 0.000

# Pm2USe5 (PBE, optimized geometry)
# Space-group type: Cmcm
# Uncorrected energy (eV for the cell shown): -101.09
# ΔE_f (raw) (kJ/mol of atoms): -148.8
data_Pm2USe5
_symmetry_space_group_name_H-M 'P 1'
_symmetry_Int_Tables_number 1
_symmetry_space_group_name_Hall 'P 1'
_cell_length_a 5.701
_cell_length_b 7.555
_cell_length_c 13.870
_cell_angle_alpha 90.00
_cell_angle_beta 90.00
_cell_angle_gamma 112.17
loop_
_atom_site_label
_atom_site_type_symbol
_atom_site_fract_x
_atom_site_fract_y
_atom_site_fract_z
Pm1 Pm 0.853 0.707 0.441
Pm2 Pm 0.853 0.707 0.059
Pm3 Pm 0.147 0.293 0.559
Pm4 Pm 0.147 0.293 0.941
U1 U 0.802 0.603 0.750
U2 U 0.198 0.397 0.250
Se1 Se 0.952 0.904 0.877
Se2 Se 0.952 0.904 0.623
Se3 Se 0.314 0.629 0.422
Se4 Se 0.314 0.629 0.078
Se5 Se 0.742 0.484 0.250
Se6 Se 0.258 0.516 0.750
Se7 Se 0.686 0.371 0.578
Se8 Se 0.686 0.371 0.922
Se9 Se 0.048 0.096 0.123
Se10 Se 0.048 0.096 0.377

# Be2ZnRh (PBE, optimized geometry)
# Space-group type: P4/mmm
# Uncorrected energy (eV for the cell shown): -17.47
# Calculated formation energy (meV per atom): -348.0
data_Be2ZnRh
_symmetry_space_group_name_H-M 'P 1'
_symmetry_Int_Tables_number 1
_symmetry_space_group_name_Hall 'P 1'
_cell_length_a 3.842
_cell_length_b 3.842
_cell_length_c 2.946
_cell_angle_alpha 90.00
_cell_angle_beta 90.00
_cell_angle_gamma 90.00
loop_
_atom_site_label
_atom_site_type_symbol
_atom_site_fract_x
_atom_site_fract_y
_atom_site_fract_z
Be1 Be 0.000 0.000 0.000
Be2 Be 0.500 0.500 0.000
Zn1 Zn 0.000 0.500 0.500
Rh1 Rh 0.500 0.000 0.500

# ErThCdPb (PBE, optimized geometry)
# Space-group type: F-43m
# Uncorrected energy (eV for the cell shown): -17.47
# Calculated formation energy (meV per atom): -215.3
data_ErThCdPb
_symmetry_space_group_name_H-M 'P 1'
_symmetry_Int_Tables_number 1
_symmetry_space_group_name_Hall 'P 1'
_cell_length_a 5.426
_cell_length_b 5.426
_cell_length_c 5.426
_cell_angle_alpha 60.00
_cell_angle_beta 60.00
_cell_angle_gamma 60.00
loop_
_atom_site_label
_atom_site_type_symbol
_atom_site_fract_x
_atom_site_fract_y
_atom_site_fract_z
Pb1 Pb 0.750 0.750 0.750
Cd1 Cd 0.250 0.250 0.250
Th1 Th 0.500 0.500 0.500
Er1 Er 0.000 0.000 0.000

Question: Which value of uncorrected energy does entry 5 give?
Answer: -31.78 eV for the cell shown